Below is an optimized crystal structure of MoPRu4, with properties calculated at the PBE level.

Computed properties:
* calculated total energy: -8.21 eV per atom
* formation enthalpy at 0 K: 4.107 eV per formula unit

a = 5.0584 Å, b = 5.0584 Å, c = 5.0584 Å
α = 60.00°, β = 60.00°, γ = 60.00°
Last column: nearest neighbours and their distance in Å.
Fractional coordinates of all 6 atoms:
Ru: 0.8750 0.3750 0.3750  6 Ru 2.53
Ru: 0.3750 0.3750 0.8750  6 Ru 2.53
P: 0.0000 0.0000 0.0000  12 Ru 2.97, 4 Mo 3.10
Ru: 0.3750 0.8750 0.3750  6 Ru 2.53
Ru: 0.3750 0.3750 0.3750  6 Ru 2.53
Mo: 0.7500 0.7500 0.7500  12 Ru 2.97, 4 P 3.10

=====

Below is an optimized crystal structure of MoPRu2, with properties calculated at the PBE level.

Computed properties:
* calculated total energy: -8.70 eV per atom
* formation enthalpy at 0 K: 0.002 eV per formula unit

a = 2.8520 Å, b = 3.8771 Å, c = 5.1529 Å
α = 90.00°, β = 90.00°, γ = 90.00°
Last column: nearest neighbours and their distance in Å.
Fractional coordinates of all 4 atoms:
P: 0.5000 0.5000 0.7934  6 Ru 2.48-2.67
Ru: 0.5000 0.5000 0.2756  2 P 2.48-2.67, 4 Mo 2.63
Ru: 0.0000 0.0000 0.9505  1 Mo 2.42, 4 P 2.54
Mo: 0.0000 0.0000 0.4805  5 Ru 2.42-2.63

=====

Below is an optimized crystal structure of MoPRuS2, with properties calculated at the PBE level.

Computed properties:
* calculated total energy: -5.87 eV per atom

a = 4.6027 Å, b = 4.6027 Å, c = 4.7676 Å
α = 90.00°, β = 90.00°, γ = 90.00°
Last column: nearest neighbours and their distance in Å.
Fractional coordinates of all 5 atoms:
S: 0.0000 0.5000 0.0000  2 Mo 2.30
P: 0.0000 0.0000 0.5000  2 Mo 2.38
Ru: 0.5000 0.5000 0.5000  4 P 3.25, 8 S 3.31
Mo: 0.0000 0.0000 0.0000  4 S 2.30, 2 P 2.38
S: 0.5000 0.0000 0.0000  2 Mo 2.30

=====

Below is an optimized crystal structure of MoPRuS2, with properties calculated at the PBE level.

Computed properties:
* calculated total energy: -5.72 eV per atom

a = 4.5305 Å, b = 4.5305 Å, c = 4.4740 Å
α = 90.00°, β = 90.00°, γ = 90.00°
Last column: nearest neighbours and their distance in Å.
Fractional coordinates of all 5 atoms:
Mo: 0.5000 0.5000 0.5000  8 S 3.18, 4 P 3.20
S: 0.0000 0.5000 0.0000  2 Ru 2.27
Ru: 0.0000 0.0000 0.0000  2 P 2.24, 4 S 2.27
P: 0.0000 0.0000 0.5000  2 Ru 2.24
S: 0.5000 0.0000 0.0000  2 Ru 2.27